1.
Here is an optimized crystal structure of Ho2Si4Pt3Rh from Alexandria via LeMat-Bulk. Energies are from PBE.

Cell lengths 4.1143, 4.1143, 10.0602 Å; angles 90.00, 90.00, 90.00 degrees
Space group P-4m2 (No. 115)
Inequivalent atoms, fractional coordinates:
Ho 0.0000 0.5000 0.2487
Si 0.0000 0.0000 0.0000
Si 0.0000 0.5000 0.6344
Si 0.5000 0.5000 0.0000
Pt 0.0000 0.5000 0.8722
Pt 0.5000 0.5000 0.5000
Rh 0.0000 0.0000 0.5000

Computed properties:
- E: -6.73 eV/atom
- Total magnetization: 0.0 μB per formula unit


2.
Here is an optimized crystal structure of Ho2Si2PtRh5 from Alexandria via LeMat-Bulk. Energies are from PBE.

Cell lengths 9.6216, 9.6216, 3.5329 Å; angles 90.00, 90.00, 90.00 degrees
Space group P4/mbm (No. 127)
Inequivalent atoms, fractional coordinates:
Ho 0.1758 0.3242 0.0000
Si 0.1238 0.6238 0.0000
Pt 0.0000 0.0000 0.0000
Rh 0.0000 0.5000 0.5000
Rh 0.0689 0.7859 0.5000

Computed properties:
- E: -7.14 eV/atom
- Total magnetization: 0.0 μB per formula unit


3.
Here is an optimized crystal structure of HoSi2Pt4Rh from Alexandria via LeMat-Bulk. Energies are from PBE.

Cell lengths 3.9203, 3.9203, 9.2999 Å; angles 90.00, 90.00, 90.00 degrees
Space group P4/mmm (No. 123)
Inequivalent atoms, fractional coordinates:
Ho 0.0000 0.0000 0.0000
Si 0.5000 0.5000 0.3784
Pt 0.0000 0.5000 0.2365
Rh 0.0000 0.0000 0.5000

Computed properties:
- E: -6.50 eV/atom
- Total magnetization: 0.0 μB per formula unit